First-principles (PBE) data for crystalline CrSiAs2 at its relaxed geometry, as listed in Alexandria.

Properties
Formation energy (no corrections) (eV/atom): 0.2377
Uncorrected energy (eV/atom): -5.849
N(E_F) (states/eV/f.u.): 2.14

Unit cell a=6.364 b=6.364 c=6.364 alpha=148.79 beta=148.70 gamma=44.78
Fractional positions:
Cr  0.000  0.000  0.000
Si  0.255  0.755  0.500
As  0.578  0.578  0.000
As  0.836  0.336  0.500

***

First-principles (PBE) data for crystalline CrSi2As at its relaxed geometry, as listed in Alexandria.

Properties
Formation energy (no corrections) (eV/atom): 0.0915
Uncorrected energy (eV/atom): -6.188
N(E_F) (states/eV/f.u.): 2.24

Unit cell a=3.314 b=3.881 c=4.789 alpha=90.00 beta=110.10 gamma=90.00
Fractional positions:
Cr  0.000  0.000  0.000
Si  0.150  0.500  0.301
Si  0.709  0.000  0.418
As  0.415  0.500  0.830

***

First-principles (PBE) data for crystalline CrSi2As at its relaxed geometry, as listed in Alexandria.

Properties
Formation energy (no corrections) (eV/atom): 0.3805
Uncorrected energy (eV/atom): -5.899
N(E_F) (states/eV/f.u.): 3.15

Unit cell a=3.516 b=3.516 c=5.083 alpha=90.00 beta=90.00 gamma=90.00
Fractional positions:
Cr  0.000  0.000  0.000
Si  0.000  0.500  0.500
Si  0.500  0.000  0.500
As  0.500  0.500  0.000

***

First-principles (PBE) data for crystalline Cr2SiAs at its relaxed geometry, as listed in Alexandria.

Properties
Formation energy (no corrections) (eV/atom): 0.5991
Energy above the lowest structure with this stoichiometry (meV per atom): 699
Uncorrected energy (eV/atom): -6.731
N(E_F) (states/eV/f.u.): 1.46

Unit cell a=6.806 b=6.806 c=6.806 alpha=131.88 beta=131.88 gamma=70.42
Fractional positions:
Cr  0.120  0.625  0.995
Cr  0.375  0.370  0.495
Cr  0.630  0.125  0.005
Cr  0.875  0.880  0.505
Si  0.000  0.000  0.000
Si  0.750  0.250  0.500
As  0.250  0.750  0.500
As  0.500  0.500  0.000

***

Copy entry 4 word for word.
First-principles (PBE) data for crystalline Cr2SiAs at its relaxed geometry, as listed in Alexandria.

Properties
Formation energy (no corrections) (eV/atom): 0.5991
Energy above the lowest structure with this stoichiometry (meV per atom): 699
Uncorrected energy (eV/atom): -6.731
N(E_F) (states/eV/f.u.): 1.46

Unit cell a=6.806 b=6.806 c=6.806 alpha=131.88 beta=131.88 gamma=70.42
Fractional positions:
Cr  0.120  0.625  0.995
Cr  0.375  0.370  0.495
Cr  0.630  0.125  0.005
Cr  0.875  0.880  0.505
Si  0.000  0.000  0.000
Si  0.750  0.250  0.500
As  0.250  0.750  0.500
As  0.500  0.500  0.000

***

Q: Which value of uncorrected energy does entry 1 give?
A: -5.849 eV/atom

***

Q: Which value of formation energy (no corrections) does entry 4 give?
A: 0.5991 eV/atom